VASP calculation (PBEsol) on a relaxed structure of AsPt3N.

Properties
As for the volume: 14.55 Å³/atom. The symmetry is No. 221. The energy relative to the elements, uncorrected comes out at 572 meV per atom.

Cell: 4.175 4.175 4.175 Å, 90.00 90.00 90.00°
Fractional positions:
As1 0.000 0.000 0.000
Pt1 0.000 0.500 0.500
Pt2 0.500 0.000 0.500
Pt3 0.500 0.500 0.000
N1 0.500 0.500 0.500

---

VASP calculation (PBEsol) on a relaxed structure of AsPtN3.

Properties
As for the volume: 11.67 Å³/atom. The symmetry is No. 221. The energy relative to the elements, uncorrected comes out at 1725 meV per atom.

Cell: 3.879 3.879 3.879 Å, 90.00 90.00 90.00°
Fractional positions:
As1 0.000 0.000 0.000
Pt1 0.500 0.500 0.500
N1 0.000 0.500 0.500
N2 0.500 0.000 0.500
N3 0.500 0.500 0.000

---

VASP calculation (PBEsol) on a relaxed structure of AsRuPtN2.

Properties
As for the volume: 13.52 Å³/atom. The symmetry is No. 123. The energy relative to the elements, uncorrected comes out at 1715 meV per atom.

Cell: 3.721 3.721 4.882 Å, 90.00 90.00 90.00°
Fractional positions:
As1 0.000 0.000 0.000
Ru1 0.500 0.500 0.500
Pt1 0.000 0.000 0.500
N1 0.000 0.500 0.000
N2 0.500 0.000 0.000

---

VASP calculation (PBEsol) on a relaxed structure of As2PtSeN.

Properties
As for the volume: 15.28 Å³/atom. The symmetry is No. 123. The energy relative to the elements, uncorrected comes out at 688 meV per atom.

Cell: 4.294 4.294 4.145 Å, 90.00 90.00 90.00°
Fractional positions:
As1 0.000 0.500 0.000
As2 0.500 0.000 0.000
Pt1 0.000 0.000 0.500
Se1 0.500 0.500 0.500
N1 0.500 0.500 0.000

---

VASP calculation (PBEsol) on a relaxed structure of RbAsN2.

Properties
As for the volume: 14.64 Å³/atom. The symmetry is No. 166. The energy relative to the elements, uncorrected comes out at 653 meV per atom.

Cell: 7.488 7.488 7.488 Å, 23.49 23.49 23.49°
Fractional positions:
Rb1 0.000 0.000 0.000
As1 0.500 0.500 0.500
N1 0.120 0.120 0.120
N2 0.880 0.880 0.880

---

VASP calculation (PBEsol) on a relaxed structure of Rb2As2N.

Properties
As for the volume: 26.00 Å³/atom. The symmetry is No. 139. The energy relative to the elements, uncorrected comes out at 433 meV per atom.

Cell: 10.003 10.003 10.003 Å, 158.87 158.87 30.06°
Fractional positions:
Rb1 0.085 0.085 0.000
Rb2 0.915 0.915 0.000
As1 0.250 0.750 0.500
As2 0.750 0.250 0.500
N1 0.500 0.500 0.000

---

VASP calculation (PBEsol) on a relaxed structure of Rb2AsN.

Properties
As for the volume: 31.01 Å³/atom. The symmetry is No. 225. The energy relative to the elements, uncorrected comes out at 974 meV per atom.

Cell: 5.598 5.598 5.598 Å, 60.00 60.00 60.00°
Fractional positions:
Rb1 0.250 0.250 0.250
Rb2 0.750 0.750 0.750
As1 0.000 0.000 0.000
N1 0.500 0.500 0.500

---

VASP calculation (PBEsol) on a relaxed structure of RbAsN2.

Properties
As for the volume: 15.55 Å³/atom. The symmetry is No. 122. The energy relative to the elements, uncorrected comes out at 66 meV per atom.

Cell: 5.535 5.535 5.535 Å, 117.24 117.24 94.84°
Fractional positions:
Rb1 0.000 0.000 0.000
Rb2 0.750 0.250 0.500
As1 0.250 0.750 0.500
As2 0.500 0.500 0.000
N1 0.268 0.125 0.643
N2 0.375 0.732 0.857
N3 0.482 0.625 0.357
N4 0.875 0.518 0.143

---

VASP calculation (PBEsol) on a relaxed structure of RbAs2N.

Properties
As for the volume: 23.67 Å³/atom. The symmetry is No. 141. The energy relative to the elements, uncorrected comes out at 480 meV per atom.

Cell: 7.871 7.871 7.871 Å, 141.28 141.28 55.92°
Fractional positions:
Rb1 0.375 0.625 0.750
Rb2 0.625 0.375 0.250
As1 0.000 0.000 0.000
As2 0.000 0.000 0.500
As3 0.000 0.500 0.000
As4 0.500 0.000 0.500
N1 0.125 0.875 0.250
N2 0.875 0.125 0.750

---

VASP calculation (PBEsol) on a relaxed structure of RbAsSe2N.

Properties
As for the volume: 33.49 Å³/atom. The symmetry is No. 123. The energy relative to the elements, uncorrected comes out at 1983 meV per atom.

Cell: 5.845 5.845 4.901 Å, 90.00 90.00 90.00°
Fractional positions:
Rb1 0.000 0.000 0.000
As1 0.500 0.500 0.500
Se1 0.000 0.500 0.000
Se2 0.500 0.000 0.000
N1 0.000 0.000 0.500

---

VASP calculation (PBEsol) on a relaxed structure of ReAsN3.

Properties
As for the volume: 10.01 Å³/atom. The symmetry is No. 221. The energy relative to the elements, uncorrected comes out at 1702 meV per atom.

Cell: 3.685 3.685 3.685 Å, 90.00 90.00 90.00°
Fractional positions:
Re1 0.000 0.000 0.000
As1 0.500 0.500 0.500
N1 0.000 0.500 0.500
N2 0.500 0.000 0.500
N3 0.500 0.500 0.000

---

VASP calculation (PBEsol) on a relaxed structure of Re3AsN.

Properties
As for the volume: 13.46 Å³/atom. The symmetry is No. 221. The energy relative to the elements, uncorrected comes out at 621 meV per atom.

Cell: 4.068 4.068 4.068 Å, 90.00 90.00 90.00°
Fractional positions:
Re1 0.000 0.000 0.500
Re2 0.000 0.500 0.000
Re3 0.500 0.000 0.000
As1 0.500 0.500 0.500
N1 0.000 0.000 0.000

---

Question: energy relative to the elements, uncorrected of number 2 (AsPtN3)?
Answer: 1725 meV per atom

---

Question: Which formula does entry 2 have?
Answer: AsPtN3